A plane-wave DFT calculation with PBE-GGA was carried out for a relaxed structure of InSb2W.

Unit cell a=7.111 b=7.111 c=7.111 alpha=153.60 beta=140.57 gamma=48.07
Positions (direct):
W 0.750 0.250 0.500
Sb 0.924 0.924 0.000
Sb 0.576 0.576 0.000
In 0.250 0.750 0.500

Results
SG: No. 71
DOS at the Fermi energy: 0.63 states/eV per atom
DFT total energy: -5.566 eV/atom
calculated volume: 25.3 A^3/atom
ΔE_f (raw): 0.4179 eV/atom

A plane-wave DFT calculation with PBE-GGA was carried out for a relaxed structure of ZnInSbW2.

Unit cell a=4.767 b=4.940 c=4.767 alpha=90.00 beta=90.00 gamma=90.00
Site moments in Bohr magnetons follow the coordinates.
Positions (direct):
In 0.500 0.500 0.500  -0.01
Sb 0.000 0.500 0.000  0.00
Zn 0.000 0.000 0.000  0.01
W 0.500 0.000 0.000  0.42
W 0.000 0.000 0.500  0.26

Results
SG: No. 123
DOS at the Fermi energy: 1.27 states/eV per atom
DFT total energy: -5.024 eV/atom
calculated volume: 22.5 A^3/atom
ΔE_f (raw): 1.7839 eV/atom

A plane-wave DFT calculation with PBE-GGA was carried out for a relaxed structure of Y2InSb.

Unit cell a=5.618 b=5.618 c=5.618 alpha=128.58 beta=127.41 gamma=76.63
Site moments in Bohr magnetons follow the coordinates.
Positions (direct):
Sb 0.750 0.250 0.500  0.00
Y 0.501 0.501 0.000  0.06
Y 0.999 0.999 0.000  0.06
In 0.250 0.750 0.500  0.00

Results
energy above the most stable polymorph in this dataset: 187.3 meV/atom
SG: No. 71
DOS at the Fermi energy: 1.06 states/eV per atom
DFT total energy: -5.567 eV/atom
calculated volume: 26.7 A^3/atom
ΔE_f (raw): -0.6193 eV/atom

A plane-wave DFT calculation with PBE-GGA was carried out for a relaxed structure of YIn3Sb.

Unit cell a=5.824 b=5.824 c=5.824 alpha=90.00 beta=90.00 gamma=90.00
Site moments in Bohr magnetons follow the coordinates.
Positions (direct):
In 0.500 0.000 0.000  0.03
In 0.000 0.500 0.000  0.05
In 0.000 0.000 0.500  0.04
Y 0.000 0.000 0.000  0.21
Sb 0.500 0.500 0.500  -0.03

Results
energy above the most stable polymorph in this dataset: 201.8 meV/atom
SG: No. 221
DOS at the Fermi energy: 1.07 states/eV per atom
DFT total energy: -3.088 eV/atom
calculated volume: 39.5 A^3/atom
ΔE_f (raw): 0.6721 eV/atom

A plane-wave DFT calculation with PBE-GGA was carried out for a relaxed structure of Y2InSb.

Unit cell a=4.132 b=4.132 c=8.633 alpha=76.15 beta=76.15 gamma=60.00
Positions (direct):
In 0.499 0.499 0.502
Y 0.075 0.075 0.774
Y 0.258 0.258 0.227
Sb 0.668 0.668 0.997

Results
energy above the most stable polymorph in this dataset: 184.0 meV/atom
SG: No. 160
DOS at the Fermi energy: 0.55 states/eV per atom
DFT total energy: -5.570 eV/atom
calculated volume: 30.7 A^3/atom
ΔE_f (raw): -0.6225 eV/atom

A plane-wave DFT calculation with PBE-GGA was carried out for a relaxed structure of Y10In3Sb3.

Unit cell a=6.564 b=8.973 c=8.973 alpha=120.00 beta=90.00 gamma=90.00
Positions (direct):
Y 0.252 0.667 0.333
Y 0.000 0.238 0.000
Y 0.000 0.000 0.238
Y 0.252 0.333 0.667
Y 0.500 0.763 0.000
Y 0.500 0.237 0.237
Y 0.500 0.000 0.763
Y 0.000 0.762 0.762
Y 0.748 0.667 0.333
Y 0.748 0.333 0.667
In 0.500 0.000 0.396
In 0.500 0.396 0.000
In 0.500 0.604 0.604
Sb 0.000 0.394 0.394
Sb 0.000 0.606 0.000
Sb 0.000 0.000 0.606

Results
SG: No. 189
DOS at the Fermi energy: 0.82 states/eV per atom
DFT total energy: -6.042 eV/atom
calculated volume: 28.6 A^3/atom
ΔE_f (raw): -0.7152 eV/atom

A plane-wave DFT calculation with PBE-GGA was carried out for a relaxed structure of Y5In2Sb2.

Unit cell a=8.120 b=8.133 c=8.821 alpha=117.45 beta=90.00 gamma=90.00
Positions (direct):
Y 0.833 0.533 0.724
Y 0.333 0.692 0.724
Y 0.000 0.000 0.000
Y 0.667 0.033 0.724
Y 0.500 0.500 0.000
Y 0.333 0.967 0.276
Y 0.167 0.467 0.276
Y 0.167 0.192 0.724
Y 0.667 0.308 0.276
Y 0.833 0.808 0.276
Sb 0.000 0.203 0.406
Sb 0.500 0.703 0.406
Sb 0.000 0.797 0.594
Sb 0.500 0.297 0.594
In 0.128 0.629 0.000
In 0.628 0.871 0.000
In 0.372 0.129 0.000
In 0.872 0.371 0.000

Results
SG: No. 64
DOS at the Fermi energy: 0.75 states/eV per atom
DFT total energy: -5.911 eV/atom
calculated volume: 28.7 A^3/atom
ΔE_f (raw): -0.7952 eV/atom

A plane-wave DFT calculation with PBE-GGA was carried out for a relaxed structure of Y3InSb.

Unit cell a=4.170 b=9.241 c=9.577 alpha=97.85 beta=102.57 gamma=116.83
Positions (direct):
Y 0.410 0.335 0.651
Y 0.074 0.912 0.825
Y 0.590 0.665 0.349
Y 0.317 0.606 0.922
Y 0.926 0.088 0.175
Y 0.683 0.394 0.078
Sb 0.129 0.803 0.153
Sb 0.871 0.197 0.847
In 0.221 0.665 0.613
In 0.779 0.335 0.387

Results
energy above the most stable polymorph in this dataset: 0.0 meV/atom
SG: No. 2
DOS at the Fermi energy: 1.15 states/eV per atom
DFT total energy: -5.793 eV/atom
calculated volume: 31.0 A^3/atom
ΔE_f (raw): -0.5425 eV/atom

Question: Among the records above, which one has the lowest calculated volume?
Answer: ZnInSbW2